<A>
Below is a PBEsol-optimized structure of Y2TeCl, with properties calculated at the SCAN level.

Cell and atoms, written as POSCAR:
```
Y2TeCl
1.0
-0.4713 4.4062 -2.8248
-3.8835 3.3845 1.0391
1.0851 4.6529 2.1885
Y Te Cl
2 1 1
direct
0.0000 0.0000 0.0000 Y
0.7500 0.7500 0.7500 Y
0.2500 0.2500 0.2500 Te
0.5000 0.5000 0.5000 Cl
```

Summary:
Density, g cm⁻³: 5.52
M_tot, μB/cell: 3.00
DOS(E_F), states/eV per cell: 2.39

<B>
Below is a PBEsol-optimized structure of Y2TeCl, with properties calculated at the SCAN level.

Cell and atoms, written as POSCAR:
```
Y2TeCl
1.0
3.9406 0.0000 0.0000
0.0000 3.9406 0.0000
0.0000 0.0000 6.4414
Y Te Cl
2 1 1
direct
0.0000 0.0000 0.9778 Y
0.5000 0.5000 0.3100 Y
0.5000 0.5000 0.8045 Te
0.0000 0.0000 0.4076 Cl
```

Summary:
Density, g cm⁻³: 5.66
M_tot, μB/cell: 0.00
DOS(E_F), states/eV per cell: 1.21

<C>
Below is a PBEsol-optimized structure of Y2TeCl, with properties calculated at the SCAN level.

Cell and atoms, written as POSCAR:
```
Y2TeCl
1.0
-0.5464 -3.2804 -1.9217
-0.0810 -2.2960 3.9422
-5.6735 1.5189 -0.9796
Y Te Cl
2 1 1
direct
0.0000 0.0000 0.0000 Y
0.5000 0.5000 0.5000 Y
0.0000 0.0000 0.5000 Te
0.5000 0.5000 0.0000 Cl
```

Summary:
Density, g cm⁻³: 5.61
M_tot, μB/cell: 0.00
DOS(E_F), states/eV per cell: 2.77

Least stable structure among those shown: <A>.